No. 1
! CuTcCl (PBE, optimized geometry); values from VASP
! * E_tot: -4.2128 eV/atom
! * space-group type: F-43m
! * excess energy over the best structure of this formula in the dataset: 0.865 eV per atom
! * formation energy from raw total energies: 1.22 eV/atom
! * density of states at the Fermi level: 0.714 states/eV/atom
&SYSTEM
  ibrav = 0, nat = 3, ntyp = 3
/
ATOMIC_SPECIES
Tc 98.00 Tc.upf
Cu 63.55 Cu.upf
Cl 35.45 Cl.upf
ATOMIC_POSITIONS angstrom
Tc 0.0000 0.0000 0.0000
Cu 6.5230 3.7661 2.6630
Cl 4.3487 2.5107 1.7753
CELL_PARAMETERS angstrom
4.3487 0.0000 0.0000
2.1743 3.7661 0.0000
2.1743 1.2554 3.5507

---

No. 2
! Cu2TcCl (PBE, optimized geometry); values from VASP
! * E_tot: -4.4661 eV/atom
! * space-group type: Pmmm
! * excess energy over the best structure of this formula in the dataset: 0.339 eV per atom
! * formation energy from raw total energies: 0.64 eV/atom
! * density of states at the Fermi level: 0.965 states/eV/atom
&SYSTEM
  ibrav = 0, nat = 4, ntyp = 3
/
ATOMIC_SPECIES
Tc 98.00 Tc.upf
Cu 63.55 Cu.upf
Cl 35.45 Cl.upf
ATOMIC_POSITIONS angstrom
Tc 1.3891 0.0000 2.3804
Cu 0.0000 0.0000 0.0000
Cu 1.3891 2.1432 0.0000
Cl 0.0000 2.1432 2.3804
CELL_PARAMETERS angstrom
2.7781 0.0000 0.0000
0.0000 4.2863 0.0000
0.0000 0.0000 4.7607

---

No. 3
! Cu2TcCl (PBE, optimized geometry); values from VASP
! * E_tot: -4.3217 eV/atom
! * space-group type: I-4m2
! * excess energy over the best structure of this formula in the dataset: 0.483 eV per atom
! * formation energy from raw total energies: 0.78 eV/atom
! * density of states at the Fermi level: 0.677 states/eV/atom
&SYSTEM
  ibrav = 0, nat = 4, ntyp = 3
/
ATOMIC_SPECIES
Tc 98.00 Tc.upf
Cu 63.55 Cu.upf
Cl 35.45 Cl.upf
ATOMIC_POSITIONS angstrom
Tc 3.2218 2.2610 0.0000
Cu 0.0000 0.0000 0.0000
Cu 0.8268 2.2478 1.3650
Cl 2.3950 0.0132 1.3650
CELL_PARAMETERS angstrom
4.7900 0.0264 0.0000
1.6536 4.4956 0.0000
-3.2218 -2.2610 2.7300

---

No. 4
! Cu2TcCl (PBE, optimized geometry); values from VASP
! * E_tot: -4.7046 eV/atom
! * space-group type: P4/mmm
! * excess energy over the best structure of this formula in the dataset: 0.100 eV per atom
! * formation energy from raw total energies: 0.40 eV/atom
! * density of states at the Fermi level: 0.729 states/eV/atom
&SYSTEM
  ibrav = 0, nat = 4, ntyp = 3
/
ATOMIC_SPECIES
Tc 98.00 Tc.upf
Cu 63.55 Cu.upf
Cl 35.45 Cl.upf
ATOMIC_POSITIONS angstrom
Tc 1.4070 1.4070 1.8433
Cu 0.0000 0.0000 0.0529
Cu 0.0000 0.0000 3.6337
Cl 1.4070 1.4070 5.5300
CELL_PARAMETERS angstrom
2.8141 0.0000 0.0000
0.0000 2.8141 0.0000
0.0000 0.0000 7.3733

---

No. 5
! Cu2TcCl (PBE, optimized geometry); values from VASP
! * E_tot: -4.5506 eV/atom
! * space-group type: Cmmm
! * excess energy over the best structure of this formula in the dataset: 0.254 eV per atom
! * formation energy from raw total energies: 0.55 eV/atom
! * density of states at the Fermi level: 0.845 states/eV/atom
&SYSTEM
  ibrav = 0, nat = 4, ntyp = 3
/
ATOMIC_SPECIES
Tc 98.00 Tc.upf
Cu 63.55 Cu.upf
Cl 35.45 Cl.upf
ATOMIC_POSITIONS angstrom
Tc 0.6179 -1.9003 -2.0022
Cu 0.0000 0.0000 0.0000
Cu -1.3164 2.0793 -2.7022
Cl 0.9939 0.4499 -2.6098
CELL_PARAMETERS angstrom
-0.9404 4.4295 -3.3098
2.9283 -3.5298 -1.9099
-1.6925 -0.2708 -2.0945

---

No. 6
! Cu2TcCl (PBE, optimized geometry); values from VASP
! * E_tot: -4.5989 eV/atom
! * space-group type: Cm
! * excess energy over the best structure of this formula in the dataset: 0.206 eV per atom
! * formation energy from raw total energies: 0.50 eV/atom
! * density of states at the Fermi level: 0.831 states/eV/atom
&SYSTEM
  ibrav = 0, nat = 4, ntyp = 3
/
ATOMIC_SPECIES
Tc 98.00 Tc.upf
Cu 63.55 Cu.upf
Cl 35.45 Cl.upf
ATOMIC_POSITIONS angstrom
Tc -6.1459 -0.9784 -0.8927
Cu -7.4890 -2.7667 -4.2115
Cu -2.4476 -0.5637 -0.7007
Cl -8.3320 -1.6110 -1.7748
CELL_PARAMETERS angstrom
-3.7074 -0.2131 -2.8628
-3.4963 -2.6684 -1.6251
-4.2702 0.8560 2.4267

---

No. 7
! CuTc4Cl (PBE, optimized geometry); values from VASP
! * E_tot: -6.9222 eV/atom
! * space-group type: F-43m
! * formation energy from raw total energies: 0.98 eV/atom
! * density of states at the Fermi level: 0.724 states/eV/atom
&SYSTEM
  ibrav = 0, nat = 6, ntyp = 3
/
ATOMIC_SPECIES
Cu 63.55 Cu.upf
Tc 98.00 Tc.upf
Cl 35.45 Cl.upf
ATOMIC_POSITIONS angstrom
Cu 0.0000 0.0000 0.0000
Tc -1.8324 6.3703 2.2381
Tc -2.9825 6.3285 -0.0481
Tc -0.5127 6.9763 0.1304
Tc -1.2332 4.5541 0.5371
Cl -2.4603 9.0859 1.0716
CELL_PARAMETERS angstrom
-1.2074 3.6593 3.4272
1.4515 4.8801 -0.8194
-3.5246 3.5751 -1.1791

---

No. 8
! Cu2TcCl8 (PBE, optimized geometry); values from VASP
! * E_tot: -3.5206 eV/atom
! * space-group type: P-1
! * formation energy from raw total energies: -0.49 eV/atom
! * density of states at the Fermi level: 0.315 states/eV/atom
&SYSTEM
  ibrav = 0, nat = 11, ntyp = 3
/
ATOMIC_SPECIES
Tc 98.00 Tc.upf
Cu 63.55 Cu.upf
Cl 35.45 Cl.upf
ATOMIC_POSITIONS angstrom
Tc 0.0000 0.0000 0.0000
Cu 3.8597 3.7285 6.2884
Cu 0.4942 1.5456 2.1409
Cl 5.8353 1.8280 1.5104
Cl 2.0559 1.0982 0.4998
Cl -1.4815 3.4461 6.9189
Cl 0.7795 2.6373 3.9282
Cl 2.2980 4.1760 7.9295
Cl 3.0648 4.8809 1.3072
Cl 1.2891 0.3933 7.1221
Cl 3.5744 2.6368 4.5012
CELL_PARAMETERS angstrom
7.0468 -0.1235 0.8719
-3.8719 5.8030 -1.7832
1.1790 -0.4053 9.3407

---

No. 9
! Cu2TcCl (PBE, optimized geometry); values from VASP
! * E_tot: -4.7101 eV/atom
! * space-group type: Cmmm
! * excess energy over the best structure of this formula in the dataset: 0.095 eV per atom
! * formation energy from raw total energies: 0.39 eV/atom
! * density of states at the Fermi level: 1.119 states/eV/atom
&SYSTEM
  ibrav = 0, nat = 4, ntyp = 3
/
ATOMIC_SPECIES
Tc 98.00 Tc.upf
Cu 63.55 Cu.upf
Cl 35.45 Cl.upf
ATOMIC_POSITIONS angstrom
Tc 1.9491 0.7203 1.4301
Cu 5.0350 6.1482 1.6162
Cu 2.5691 3.1372 0.8246
Cl 4.4838 3.8154 2.2437
CELL_PARAMETERS angstrom
-0.8463 -0.0160 2.6972
2.2098 -1.6386 -0.6506
5.0694 6.1903 1.6272

---

No. 10
! CuTcCl6 (PBE, optimized geometry); values from VASP
! * E_tot: -3.7698 eV/atom
! * space-group type: C2/m
! * excess energy over the best structure of this formula in the dataset: 0.000 eV per atom
! * formation energy from raw total energies: -0.58 eV/atom
! * density of states at the Fermi level: 0.446 states/eV/atom
&SYSTEM
  ibrav = 0, nat = 8, ntyp = 3
/
ATOMIC_SPECIES
Cu 63.55 Cu.upf
Tc 98.00 Tc.upf
Cl 35.45 Cl.upf
ATOMIC_POSITIONS angstrom
Cu 0.0000 0.0000 0.0000
Tc -1.7583 0.0805 2.9287
Cl -2.2780 -1.4323 4.7154
Cl -1.3125 -4.7921 -0.5924
Cl -0.4559 -1.5127 1.6974
Cl 0.5097 -4.8725 -3.6104
Cl -2.6625 -0.9509 -1.5654
Cl -3.6608 -0.6010 1.7983
CELL_PARAMETERS angstrom
-3.5166 0.1610 5.8575
-2.8067 -1.7129 -5.6245
4.5550 -4.7529 0.8720

---

No. 11
! Cu2TcCl (PBE, optimized geometry); values from VASP
! * E_tot: -4.3112 eV/atom
! * space-group type: P4/mmm
! * excess energy over the best structure of this formula in the dataset: 0.494 eV per atom
! * formation energy from raw total energies: 0.79 eV/atom
! * density of states at the Fermi level: 0.986 states/eV/atom
&SYSTEM
  ibrav = 0, nat = 4, ntyp = 3
/
ATOMIC_SPECIES
Tc 98.00 Tc.upf
Cu 63.55 Cu.upf
Cl 35.45 Cl.upf
ATOMIC_POSITIONS angstrom
Tc 2.2302 1.8095 0.0000
Cu 0.0000 0.0000 0.0000
Cu 0.0000 1.8095 1.8095
Cl 2.2302 0.0000 1.8095
CELL_PARAMETERS angstrom
4.4604 0.0000 0.0000
0.0000 3.6190 0.0000
0.0000 0.0000 3.6190

---

No. 12
! CuTcCl (PBE, optimized geometry); values from VASP
! * E_tot: -4.5052 eV/atom
! * space-group type: F-43m
! * excess energy over the best structure of this formula in the dataset: 0.573 eV per atom
! * formation energy from raw total energies: 0.93 eV/atom
! * density of states at the Fermi level: 0.982 states/eV/atom
&SYSTEM
  ibrav = 0, nat = 3, ntyp = 3
/
ATOMIC_SPECIES
Tc 98.00 Tc.upf
Cu 63.55 Cu.upf
Cl 35.45 Cl.upf
ATOMIC_POSITIONS angstrom
Tc 2.8925 -0.4941 7.0279
Cu 1.9283 -0.3294 4.6852
Cl 0.0000 0.0000 0.0000
CELL_PARAMETERS angstrom
-0.8215 -1.0138 3.9349
2.9281 -1.7732 2.3382
1.7500 2.1282 3.0974

---

No. 13
! Cu2TcCl (PBE, optimized geometry); values from VASP
! * E_tot: -4.7184 eV/atom
! * space-group type: Imm2
! * excess energy over the best structure of this formula in the dataset: 0.086 eV per atom
! * formation energy from raw total energies: 0.38 eV/atom
! * density of states at the Fermi level: 0.803 states/eV/atom
&SYSTEM
  ibrav = 0, nat = 4, ntyp = 3
/
ATOMIC_SPECIES
Tc 98.00 Tc.upf
Cu 63.55 Cu.upf
Cl 35.45 Cl.upf
ATOMIC_POSITIONS angstrom
Tc 5.4985 2.1802 0.0000
Cu 0.5080 0.2014 0.0000
Cu 2.4303 -0.7998 1.1521
Cl 3.3813 2.2038 1.1415
CELL_PARAMETERS angstrom
6.6548 0.0122 0.0106
4.8549 4.5515 -0.0106
-5.4463 -3.0599 2.2937

---

No. 14
! Cu2TcCl (PBE, optimized geometry); values from VASP
! * E_tot: -4.3014 eV/atom
! * space-group type: F-43m
! * excess energy over the best structure of this formula in the dataset: 0.503 eV per atom
! * formation energy from raw total energies: 0.80 eV/atom
! * density of states at the Fermi level: 0.556 states/eV/atom
&SYSTEM
  ibrav = 0, nat = 4, ntyp = 3
/
ATOMIC_SPECIES
Tc 98.00 Tc.upf
Cu 63.55 Cu.upf
Cl 35.45 Cl.upf
ATOMIC_POSITIONS angstrom
Tc -5.3579 6.0471 -0.0077
Cu 0.0000 0.0000 0.0000
Cu -1.7860 2.0157 -0.0026
Cl -3.5719 4.0314 -0.0051
CELL_PARAMETERS angstrom
-0.5791 4.2854 0.8001
-2.7602 2.3487 -2.4911
-3.8046 1.4287 1.6807

---

No. 15
! Cu2TcCl (PBE, optimized geometry); values from VASP
! * E_tot: -4.4979 eV/atom
! * space-group type: Immm
! * excess energy over the best structure of this formula in the dataset: 0.307 eV per atom
! * formation energy from raw total energies: 0.60 eV/atom
! * density of states at the Fermi level: 0.883 states/eV/atom
&SYSTEM
  ibrav = 0, nat = 4, ntyp = 3
/
ATOMIC_SPECIES
Tc 98.00 Tc.upf
Cu 63.55 Cu.upf
Cl 35.45 Cl.upf
ATOMIC_POSITIONS angstrom
Tc 2.9647 -0.4419 1.1663
Cu 8.2610 4.5897 0.0000
Cu 4.2060 2.3368 0.0000
Cl 1.7152 1.8071 1.1691
CELL_PARAMETERS angstrom
5.4052 0.0598 -0.0028
2.9062 4.5578 0.0028
-3.6314 -3.2523 2.3354